Here is a relaxed structure of Mg2PbCl from Alexandria via LeMat-Bulk. Energies are from PBE.

Values from the calculation:
Its total magnetization is 0.000 μB/atom. The calculation puts the uncorrected formation energy at -560 meV/atom. For the total DFT energy (no corrections), the calculation gives -2.746 eV per atom. As for the density of states at the Fermi level: 2.779 states/eV per cell.

abc: 10.706 10.706 10.706
angles: 18.51 18.51 18.51
Atoms (fractional coordinates):
Mg 0.000 0.000 0.000
Mg 0.253 0.253 0.253
Pb 0.505 0.505 0.505
Cl 0.714 0.714 0.714



Here is a relaxed structure of CuBiBr4 from Alexandria via LeMat-Bulk. Energies are from PBE.

Values from the calculation:
Its total magnetization is 0.000 μB/atom. The calculation puts the uncorrected formation energy at -538 meV/atom. For the total DFT energy (no corrections), the calculation gives -2.983 eV per atom. As for the density of states at the Fermi level: 0.000 states/eV per cell.

abc: 6.565 6.745 10.443
angles: 104.81 104.11 102.43
Atoms (fractional coordinates):
Cu 0.131 0.371 0.251
Cu 0.869 0.629 0.749
Bi 0.429 0.181 0.860
Bi 0.571 0.819 0.140
Br 0.071 0.851 0.652
Br 0.189 0.495 0.894
Br 0.293 0.100 0.105
Br 0.416 0.699 0.347
Br 0.584 0.301 0.653
Br 0.707 0.900 0.895
Br 0.811 0.505 0.106
Br 0.929 0.149 0.348



Here is a relaxed structure of LaPmBeCu from Alexandria via LeMat-Bulk. Energies are from PBE.

Values from the calculation:
Its total magnetization is 0.000 μB/atom. For the total DFT energy (no corrections), the calculation gives -4.327 eV per atom. As for the formation energy from the elements: 48 meV per atom. As for the density of states at the Fermi level: 3.981 states/eV per cell.

abc: 5.085 5.085 5.085
angles: 60.00 60.00 60.00
Atoms (fractional coordinates):
La 0.000 0.000 0.000
Pm 0.500 0.500 0.500
Be 0.250 0.250 0.250
Cu 0.750 0.750 0.750



Here is a relaxed structure of ScTlBr2 from Alexandria via LeMat-Bulk. Energies are from PBE.

Values from the calculation:
Its total magnetization is 0.000 μB/atom. The calculation puts the uncorrected formation energy at -551 meV/atom. For the total DFT energy (no corrections), the calculation gives -3.562 eV per atom. As for the density of states at the Fermi level: 1.403 states/eV per cell.

abc: 3.765 4.756 5.971
angles: 90.00 90.00 90.00
Atoms (fractional coordinates):
Sc 0.000 0.000 0.000
Tl 0.500 0.000 0.500
Br 0.000 0.500 0.500
Br 0.500 0.500 0.000



Here is a relaxed structure of CeZn2Au8 from Alexandria via LeMat-Bulk. Energies are from PBE.

Values from the calculation:
Its total magnetization is 0.088 μB/atom. For the total DFT energy (no corrections), the calculation gives -3.258 eV per atom. As for the formation energy from the elements: -103 meV per atom. As for the density of states at the Fermi level: 10.244 states/eV per cell.

abc: 5.566 5.566 8.327
angles: 90.00 90.00 90.00
Atoms (fractional coordinates):
Ce 0.000 0.000 0.000
Zn 0.000 0.500 0.500
Zn 0.500 0.000 0.500
Au 0.254 0.254 0.279
Au 0.254 0.254 0.721
Au 0.254 0.746 0.279
Au 0.254 0.746 0.721
Au 0.746 0.254 0.279
Au 0.746 0.254 0.721
Au 0.746 0.746 0.279
Au 0.746 0.746 0.721



Here is a relaxed structure of Li2AlAu from Alexandria via LeMat-Bulk. Energies are from PBE.

Values from the calculation:
Its total magnetization is 0.000 μB/atom. For the total DFT energy (no corrections), the calculation gives -3.067 eV per atom. As for the formation energy from the elements: -355 meV per atom. As for the density of states at the Fermi level: 0.878 states/eV per cell.

abc: 3.023 3.714 5.551
angles: 90.00 90.37 90.00
Atoms (fractional coordinates):
Li 0.001 0.000 0.239
Li 0.999 0.000 0.761
Al 0.500 0.500 0.500
Au 0.500 0.500 0.000



Here is a relaxed structure of Ca2GdCu from Alexandria via LeMat-Bulk. Energies are from PBE.

Values from the calculation:
Its total magnetization is 1.952 μB/atom. For the total DFT energy (no corrections), the calculation gives -5.299 eV per atom. As for the formation energy from the elements: 246 meV per atom. As for the density of states at the Fermi level: 7.458 states/eV per cell.

abc: 11.079 11.079 11.079
angles: 19.38 19.38 19.38
Atoms (fractional coordinates):
Ca 0.108 0.108 0.108
Ca 0.892 0.892 0.892
Gd 0.000 0.000 0.000
Cu 0.500 0.500 0.500